# 1
La8Nd4Dy | PBE | optimized geometry

Cell and atoms, written as POSCAR:
```
La8Nd4Dy
1.0
-2.052 -5.205 -10.537
-3.718 -5.226 10.060
-0.874 7.151 3.392
La Nd Dy
8 4 1
Direct
0.524 0.762 0.286
0.476 0.238 0.714
0.340 0.170 0.012
0.158 0.328 0.988
0.660 0.830 0.988
0.158 0.830 0.988
0.842 0.170 0.012
0.842 0.672 0.012
0.000 0.000 0.000
0.000 0.500 0.000
0.500 0.500 0.000
0.500 0.000 0.000
0.000 0.500 0.500
```

Calculated values
As for the symmetry: R-3m. The calculation puts the calculated formation energy at 0.35 eV/atom.



# 2
Ti2BeGaN | PBE | optimized geometry

Cell and atoms, written as POSCAR:
```
Ti2BeGaN
1.0
4.188 0.000 0.000
0.000 4.188 0.000
0.000 0.000 3.477
Be N Ga Ti
1 1 1 2
Direct
0.000 0.000 0.500
0.000 0.000 0.000
0.500 0.500 0.500
0.000 0.500 0.000
0.500 0.000 0.000
```

Calculated values
As for the symmetry: P4/mmm. The formation energy from raw total energies comes out at -0.75 eV/atom.



# 3
K2MgCo | PBE | optimized geometry

Cell and atoms, written as POSCAR:
```
K2MgCo
1.0
10.308 1.034 -1.331
9.363 4.432 -1.331
1.216 0.338 3.789
Co K Mg
1 2 1
Direct
0.250 0.250 0.250
0.898 0.898 0.106
0.602 0.602 0.394
0.750 0.750 0.750
```

Calculated values
As for the symmetry: C2/m. The calculation puts the calculated formation energy at 0.51 eV/atom.